This record from the Alexandria database describes a geometry-optimized KTa2Re structure. The functional is GGA-PBE.

extended XYZ file:
```
4
Lattice="-2.956 8.750 -5.684 -5.723 7.884 -4.765 -4.002 9.633 -2.968" Properties=species:S:1:pos:R:3 pbc="T T T"
Re -9.511 19.701 -10.063
Ta -0.238 0.494 -0.252
K -3.170 6.567 -3.354
Ta -6.102 12.640 -6.456
```

magnetic moment	0.00	Bohr magnetons per cell
formation energy	2.9	eV per formula unit
polymorph energy (0 for the lowest one)	150	meV per atom
space-group type	R-3m (166)
calculated density	11369	kg/m³

=====

This record from the Alexandria database describes a geometry-optimized CoMoRu2 structure. The functional is GGA-PBE.

extended XYZ file:
```
4
Lattice="3.797 0.000 0.000 0.000 3.798 0.000 0.000 0.000 3.743" Properties=species:S:1:pos:R:3 pbc="T T T"
Ru 1.899 1.899 0.000
Co 1.899 0.000 1.872
Mo 0.000 1.899 1.872
Ru 0.000 0.000 0.000
```

magnetic moment	0.00	Bohr magnetons per cell
formation energy	0.0	eV per formula unit
polymorph energy (0 for the lowest one)	0	meV per atom
space-group type	P4/mmm (123)
calculated density	10982	kg/m³

=====

This record from the Alexandria database describes a geometry-optimized ZrCu2Au2 structure. The functional is GGA-PBE.

extended XYZ file:
```
10
Lattice="7.446 0.000 0.000 0.000 7.446 0.000 0.000 0.000 3.054" Properties=species:S:1:pos:R:3 pbc="T T T"
Zr 3.723 3.723 0.000
Cu 4.960 6.209 1.527
Au 6.453 4.717 0.000
Cu 2.486 1.237 1.527
Cu 6.209 2.486 1.527
Cu 1.237 4.960 1.527
Au 4.717 0.994 0.000
Au 2.729 6.453 0.000
Au 0.994 2.729 0.000
Zr 0.000 0.000 0.000
```

magnetic moment	0.00	Bohr magnetons per cell
formation energy	-0.4	eV per formula unit
polymorph energy (0 for the lowest one)	105	meV per atom
space-group type	P4/mbm (127)
calculated density	12006	kg/m³

=====

This record from the Alexandria database describes a geometry-optimized TbHo3Tl3 structure. The functional is GGA-PBE.

extended XYZ file:
```
28
Lattice="-4.777 0.993 -7.935 4.921 -6.921 -3.829 -6.304 -6.156 3.025" Properties=species:S:1:pos:R:3 pbc="T T T"
Tb -2.634 -5.167 -3.737
Tl -9.089 -6.122 -6.226
Tl -0.247 -9.005 -0.982
Ho -3.460 -2.508 -7.229
Ho -1.763 -9.543 -3.661
Ho -5.053 -2.564 -3.574
Tb 1.374 -6.297 -7.875
Tl -1.067 -7.035 -5.710
Tb -3.376 -9.600 0.039
Ho 0.329 -4.028 -5.343
Ho -5.694 -11.170 -8.078
Ho -4.172 -8.184 -5.919
Ho -6.834 -6.625 -4.122
Ho 1.168 -7.505 -3.580
Ho -1.902 -6.405 -0.484
Ho -1.092 -2.143 -1.550
Tl -3.753 -3.673 -0.961
Tl -4.891 -4.945 -5.903
Tl -3.166 -11.981 -2.300
Tl -4.084 -7.720 -2.635
Ho -2.630 -5.857 -8.146
Tl -7.685 -3.986 -2.680
Tb -7.683 -3.104 -5.907
Tl -1.917 -2.005 -4.561
Ho -5.856 -5.971 -0.751
Tl 0.282 -4.891 -2.122
Tl -0.510 -3.568 -8.315
Tl -0.833 -7.571 -10.042
```

magnetic moment	0.00	Bohr magnetons per cell
formation energy	-1.7	eV per formula unit
polymorph energy (0 for the lowest one)	0	meV per atom
space-group type	P2_13 (198)
calculated density	10409	kg/m³

=====

This record from the Alexandria database describes a geometry-optimized CaPbW2 structure. The functional is GGA-PBE.

extended XYZ file:
```
4
Lattice="-0.968 4.571 2.268 -1.340 0.942 -2.471 -4.950 -1.798 1.512" Properties=species:S:1:pos:R:3 pbc="T T T"
Ca -2.056 2.072 0.895
W -3.123 -0.283 -0.763
Pb -5.201 1.644 0.415
W -1.362 0.797 -2.187
```

magnetic moment	0.00	Bohr magnetons per cell
formation energy	3.4	eV per formula unit
space-group type	P2/m (10)
calculated density	12138	kg/m³

=====

This record from the Alexandria database describes a geometry-optimized YScSnPt structure. The functional is GGA-PBE.

extended XYZ file:
```
4
Lattice="5.014 0.000 0.000 2.507 4.342 0.000 2.507 1.447 4.094" Properties=species:S:1:pos:R:3 pbc="T T T"
Y 5.014 2.895 2.047
Pt 7.521 4.342 3.070
Sn 2.507 1.447 1.023
Sc 0.000 0.000 0.000
```

magnetic moment	0.00	Bohr magnetons per cell
formation energy	-3.3	eV per formula unit
space-group type	F-43m (216)
calculated density	8341	kg/m³